1.
The following is a DFT calculation (GGA-PBE) of a relaxed Ti2NbSi2 crystal.

a b c (Å): 3.697 3.697 11.582
angles (deg): 90.00 90.00 90.00
Element x y z (fractional)
Ti (0.000, 0.500, 0.250)
Ti (0.000, 0.500, 0.750)
Ti (0.500, 0.000, 0.250)
Ti (0.500, 0.000, 0.750)
Nb (0.000, 0.000, 0.000)
Nb (0.500, 0.500, 0.500)
Si (0.000, 0.000, 0.402)
Si (0.000, 0.000, 0.598)
Si (0.500, 0.500, 0.098)
Si (0.500, 0.500, 0.902)

Summary:
Formation energy (no corrections), kJ/mol of atoms: -41.5
Magnetic moment, μB/atom: 0.00

***

2.
The following is a DFT calculation (GGA-PBE) of a relaxed KCd2Pb crystal.

a b c (Å): 12.750 5.080 8.093
angles (deg): 90.00 94.59 90.00
Element x y z (fractional)
K (0.000, 0.000, 0.000)
K (0.125, 0.000, 0.477)
K (0.500, 0.500, 0.000)
K (0.625, 0.500, 0.477)
Cd (0.236, 0.500, 0.177)
Cd (0.289, 0.000, 0.946)
Cd (0.388, 0.000, 0.288)
Cd (0.440, 0.000, 0.681)
Cd (0.736, 0.000, 0.177)
Cd (0.789, 0.500, 0.946)
Cd (0.888, 0.500, 0.288)
Cd (0.940, 0.500, 0.681)
Pb (0.175, 0.500, 0.805)
Pb (0.343, 0.500, 0.525)
Pb (0.675, 0.000, 0.805)
Pb (0.843, 0.000, 0.525)

Summary:
Magnetic moment, μB/atom: 0.00
Formation energy, meV/atom: -81